# 1
Compound: MgScTa2
Source: the Alexandria database
Functional: PBE-GGA
Structure: optimized geometry

Cell lengths 2.905, 5.054, 5.503 Å; angles 90.00, 102.56, 90.00 degrees
Space group P2/m (No. 10)
Inequivalent atoms, fractional coordinates:
Mg  0.000  0.000  0.000 (multiplicity 1)
Sc  0.500  0.000  0.500 (multiplicity 1)
Ta  0.172  0.500  0.759 (multiplicity 2)

## Properties
The calculation puts the formation energy at 0.98 eV/f.u. For the volume, the calculation gives 19.7 Å³/atom. The value obtained for the density of states at the Fermi level is 0.86 states/eV per atom. The size of the total moment is 0.00 μB per formula unit.

=====

# 2
Compound: Sm3AgSn
Source: the Alexandria database
Functional: PBE-GGA
Structure: optimized geometry

Cell lengths 4.544, 6.879, 9.784 Å; angles 90.00, 90.00, 90.00 degrees
Space group Pmmn (No. 59, origin choice 2)
Inequivalent atoms, fractional coordinates:
Sm  0.250  0.012  0.185 (multiplicity 4)
Sm  0.250  0.250  0.575 (multiplicity 2)
Ag  0.250  0.250  0.915 (multiplicity 2)
Sn  0.250  0.750  0.643 (multiplicity 2)

## Properties
The calculation puts the formation energy at -1.63 eV/f.u. For the volume, the calculation gives 30.6 Å³/atom. The value obtained for the density of states at the Fermi level is 1.02 states/eV per atom. The size of the total moment is 0.00 μB per formula unit.

=====

# 3
Compound: Pd2Pb2Br
Source: the Alexandria database
Functional: PBE-GGA
Structure: optimized geometry

Cell lengths 8.309, 8.309, 3.425 Å; angles 90.00, 90.00, 90.00 degrees
Space group P4/mbm (No. 127)
Inequivalent atoms, fractional coordinates:
Pd  0.117  0.383  0.000 (multiplicity 4)
Pb  0.173  0.673  0.500 (multiplicity 4)
Br  0.000  0.000  0.500 (multiplicity 2)

## Properties
As for the energy relative to the elements, uncorrected: -0.143 eV/atom. For the volume, the calculation gives 23.6 Å³/atom. The value obtained for the density of states at the Fermi level is 0.44 states/eV per atom. The size of the total moment is 0.00 μB per formula unit.

=====

# 4
Compound: K3TiS3
Source: the Alexandria database
Functional: PBE-GGA
Structure: optimized geometry

Cell lengths 7.839, 12.922, 10.184 Å; angles 90.00, 127.51, 90.00 degrees
Space group P2_1/c (No. 14)
Inequivalent atoms, fractional coordinates:
K  0.094  0.141  0.473 (multiplicity 4)
K  0.141  0.069  0.894 (multiplicity 4)
K  0.371  0.690  0.578 (multiplicity 4)
Ti  0.442  0.052  0.350 (multiplicity 4)
S  0.146  0.161  0.189 (multiplicity 4)
S  0.344  0.615  0.876 (multiplicity 4)
S  0.369  0.536  0.255 (multiplicity 4)

## Properties
As for the energy relative to the elements, uncorrected: -1.291 eV/atom. For the volume, the calculation gives 29.2 Å³/atom. The size of the total moment is 0.00 μB per formula unit.

=====

# 5
Compound: YZrW2
Source: the Alexandria database
Functional: PBE-GGA
Structure: optimized geometry

Cell lengths 7.794, 7.794, 5.640 Å; angles 90.00, 90.00, 90.00 degrees
Space group I-42d (No. 122)
Inequivalent atoms, fractional coordinates:
Y  0.000  0.000  0.000 (multiplicity 4)
Zr  0.000  0.000  0.500 (multiplicity 4)
W  0.234  0.750  0.625 (multiplicity 8)

## Properties
The calculation puts the formation energy at 4.40 eV/f.u. For the volume, the calculation gives 21.4 Å³/atom. The value obtained for the density of states at the Fermi level is 1.55 states/eV per atom. The size of the total moment is 0.00 μB per formula unit.

=====

# 6
Compound: LaPa3Mn
Source: the Alexandria database
Functional: PBE-GGA
Structure: optimized geometry

Cell lengths 5.105, 5.105, 5.105 Å; angles 90.00, 90.00, 90.00 degrees
Space group Pm-3m (No. 221)
Inequivalent atoms, fractional coordinates:
La  0.000  0.000  0.000 (multiplicity 1)
Pa  0.000  0.500  0.500 (multiplicity 3)
Mn  0.500  0.500  0.500 (multiplicity 1)

## Properties
The calculation puts the formation energy at 1.30 eV/f.u. For the volume, the calculation gives 26.6 Å³/atom. The value obtained for the density of states at the Fermi level is 2.70 states/eV per atom. The size of the total moment is 0.00 μB per formula unit.

=====

# 7
Compound: Rb2OsSe
Source: the Alexandria database
Functional: PBE-GGA
Structure: optimized geometry

Cell lengths 12.995, 12.995, 4.642 Å; angles 90.00, 90.00, 90.00 degrees
Space group I-42d (No. 122)
Inequivalent atoms, fractional coordinates:
Rb  0.037  0.250  0.125 (multiplicity 8)
Os  0.000  0.000  0.000 (multiplicity 4)
Se  0.000  0.000  0.500 (multiplicity 4)

## Properties
As for the energy relative to the elements, uncorrected: 0.308 eV/atom. For the volume, the calculation gives 49.0 Å³/atom. The value obtained for the density of states at the Fermi level is 0.59 states/eV per atom. The size of the total moment is 0.00 μB per formula unit.

=====

# 8
Compound: TbNdDy2Y2
Source: the Alexandria database
Functional: PBE-GGA
Structure: optimized geometry

Cell lengths 6.566, 17.859, 3.409 Å; angles 90.00, 90.00, 90.00 degrees
Space group Pnnm (No. 58)
Inequivalent atoms, fractional coordinates:
Tb  0.000  0.000  0.000 (multiplicity 2)
Nd  0.000  0.500  0.000 (multiplicity 2)
Dy  0.222  0.148  0.500 (multiplicity 4)
Y  0.224  0.314  0.000 (multiplicity 4)

## Properties
The calculation puts the formation energy at 1.60 eV/f.u. For the volume, the calculation gives 33.3 Å³/atom. The value obtained for the density of states at the Fermi level is 1.63 states/eV per atom. The size of the total moment is 0.00 μB per formula unit.